Record 1
Entry from Alexandria: a relaxed Ac2YSi2 crystal (GGA-PBE).

The uncorrected energy comes out at -5.69 eV per atom. The value obtained for the density of states at the Fermi level is 8.1 states/eV per cell. For the calculated volume, the calculation gives 291.5 Å³ per cell.

Cell: 4.731 7.849 7.849 Å, 90.00 90.00 90.00°
Fractional positions:
1 Si 0.000 0.613 0.113
2 Si 0.000 0.113 0.387
3 Si 0.000 0.387 0.887
4 Si 0.000 0.887 0.613
5 Ac 0.500 0.821 0.321
6 Ac 0.500 0.321 0.179
7 Ac 0.500 0.679 0.821
8 Ac 0.500 0.179 0.679
9 Y 0.000 0.000 0.000
10 Y 0.000 0.500 0.500

Record 2
Entry from Alexandria: a relaxed PmDy2Cu3 crystal (GGA-PBE).

The uncorrected energy comes out at -4.60 eV per atom. As for the energy relative to the elements: -0.226 eV per atom. The value obtained for the density of states at the Fermi level is 2.8 states/eV per cell. For the calculated volume, the calculation gives 128.3 Å³ per cell.

Cell: 3.487 3.487 10.557 Å, 90.00 90.00 90.00°
Fractional positions:
1 Dy 0.500 0.500 0.837
2 Dy 0.500 0.500 0.163
3 Cu 0.000 0.000 0.322
4 Cu 0.000 0.000 0.000
5 Cu 0.000 0.000 0.678
6 Pm 0.500 0.500 0.500

Record 3
Entry from Alexandria: a relaxed Ac2InSi3Pd4 crystal (GGA-PBE).

The uncorrected energy comes out at -5.60 eV per atom. The value obtained for the density of states at the Fermi level is 4.3 states/eV per cell. For the calculated volume, the calculation gives 205.8 Å³ per cell.

Cell: 4.417 4.417 10.551 Å, 90.00 90.00 90.00°
Fractional positions:
1 Pd 0.500 0.500 0.000
2 Pd 0.000 0.500 0.352
3 Pd 0.500 0.000 0.648
4 Pd 0.000 0.000 0.000
5 Ac 0.000 0.500 0.758
6 Ac 0.500 0.000 0.242
7 Si 0.500 0.000 0.883
8 Si 0.000 0.500 0.117
9 Si 0.000 0.000 0.500
10 In 0.500 0.500 0.500

Record 4
Entry from Alexandria: a relaxed TbScRu crystal (GGA-PBE).

The uncorrected energy comes out at -7.17 eV per atom. As for the energy relative to the elements: -0.422 eV per atom. The value obtained for the density of states at the Fermi level is 7.4 states/eV per cell. For the calculated volume, the calculation gives 390.2 Å³ per cell.

Cell: 7.343 8.448 8.448 Å, 59.30 64.24 64.24°
Fractional positions:
1 Ru 0.420 0.333 0.333
2 Ru 0.753 0.250 0.750
3 Ru 0.753 0.750 0.250
4 Ru 0.087 0.167 0.167
5 Ru 0.420 0.833 0.833
6 Ru 0.087 0.667 0.667
7 Tb 0.168 0.043 0.543
8 Tb 0.753 0.957 0.457
9 Tb 0.168 0.543 0.043
10 Tb 0.753 0.457 0.957
11 Tb 0.339 0.750 0.250
12 Tb 0.339 0.250 0.750
13 Sc 0.753 0.875 0.875
14 Sc 0.004 0.000 0.000
15 Sc 0.503 0.125 0.125
16 Sc 0.753 0.375 0.375
17 Sc 0.004 0.500 0.500
18 Sc 0.503 0.625 0.625

Record 5
Entry from Alexandria: a relaxed LaNdSmTm3 crystal (GGA-PBE).

The uncorrected energy comes out at -4.53 eV per atom. As for the energy relative to the elements: 0.109 eV per atom. The value obtained for the density of states at the Fermi level is 23.7 states/eV per cell. For the calculated volume, the calculation gives 395.7 Å³ per cell.

Cell: 5.865 6.451 11.745 Å, 90.00 90.00 117.04°
Fractional positions:
1 Nd 0.000 0.000 0.500
2 Nd 0.000 0.000 0.000
3 Tm 0.168 0.336 0.750
4 Tm 0.674 0.348 0.006
5 Tm 0.674 0.348 0.494
6 Tm 0.326 0.652 0.506
7 Tm 0.326 0.652 0.994
8 Tm 0.832 0.664 0.250
9 Sm 0.822 0.644 0.750
10 Sm 0.178 0.356 0.250
11 La 0.508 0.015 0.750
12 La 0.492 0.985 0.250

Record 6
Entry from Alexandria: a relaxed MoP2NCl12 crystal (GGA-PBE).

The uncorrected energy comes out at -3.96 eV per atom. The value obtained for the density of states at the Fermi level is 32.8 states/eV per cell. For the calculated volume, the calculation gives 2003.6 Å³ per cell.

Cell: 22.399 8.603 10.586 Å, 79.15 90.00 90.00°
Fractional positions:
1 P 0.671 0.702 0.856
2 P 0.896 0.467 0.245
3 P 0.104 0.533 0.755
4 P 0.396 0.533 0.255
5 P 0.329 0.298 0.144
6 P 0.829 0.702 0.356
7 P 0.171 0.298 0.644
8 P 0.604 0.467 0.745
9 Cl 0.253 0.385 0.620
10 Cl 0.980 0.196 0.680
11 Cl 0.331 0.667 0.302
12 Cl 0.831 0.333 0.198
13 Cl 0.561 0.129 0.488
14 Cl 0.040 0.677 0.678
15 Cl 0.176 0.121 0.795
16 Cl 0.164 0.808 0.402
17 Cl 0.520 0.196 0.180
18 Cl 0.664 0.192 0.098
19 Cl 0.480 0.804 0.820
20 Cl 0.202 0.885 0.096
21 Cl 0.939 0.129 0.988
22 Cl 0.836 0.192 0.598
23 Cl 0.676 0.879 0.705
24 Cl 0.618 0.433 0.286
25 Cl 0.118 0.567 0.214
26 Cl 0.348 0.205 0.992
27 Cl 0.169 0.667 0.802
28 Cl 0.020 0.804 0.320
29 Cl 0.652 0.795 0.008
30 Cl 0.152 0.205 0.492
31 Cl 0.061 0.871 0.012
32 Cl 0.397 0.116 0.707
33 Cl 0.848 0.795 0.508
34 Cl 0.747 0.615 0.380
35 Cl 0.103 0.116 0.207
36 Cl 0.382 0.567 0.714
37 Cl 0.573 0.590 0.581
38 Cl 0.824 0.879 0.205
39 Cl 0.298 0.885 0.596
40 Cl 0.960 0.323 0.322
41 Cl 0.603 0.884 0.293
42 Cl 0.073 0.410 0.919
43 Cl 0.336 0.808 0.902
44 Cl 0.798 0.115 0.904
45 Cl 0.427 0.410 0.419
46 Cl 0.247 0.385 0.120
47 Cl 0.460 0.677 0.178
48 Cl 0.669 0.333 0.698
49 Cl 0.753 0.615 0.880
50 Cl 0.324 0.121 0.295
51 Cl 0.882 0.433 0.786
52 Cl 0.439 0.871 0.512
53 Cl 0.702 0.115 0.404
54 Cl 0.540 0.323 0.822
55 Cl 0.927 0.590 0.081
56 Cl 0.897 0.884 0.793
57 N 0.123 0.426 0.658
58 N 0.877 0.574 0.342
59 N 0.623 0.574 0.842
60 N 0.377 0.426 0.158
61 Mo 0.889 0.159 0.792
62 Mo 0.611 0.159 0.292
63 Mo 0.389 0.841 0.708
64 Mo 0.111 0.841 0.208

Record 7
Entry from Alexandria: a relaxed Ho2Er6Zr crystal (GGA-PBE).

The uncorrected energy comes out at -4.94 eV per atom. As for the energy relative to the elements: 0.066 eV per atom. The value obtained for the density of states at the Fermi level is 16.0 states/eV per cell. For the calculated volume, the calculation gives 272.1 Å³ per cell.

Cell: 3.510 3.510 25.509 Å, 90.00 90.00 120.00°
Fractional positions:
1 Zr 0.000 0.000 0.000
2 Er 0.000 0.000 0.566
3 Er 0.333 0.667 0.899
4 Er 0.333 0.667 0.101
5 Er 0.000 0.000 0.214
6 Er 0.000 0.000 0.434
7 Er 0.000 0.000 0.786
8 Ho 0.333 0.667 0.675
9 Ho 0.333 0.667 0.325

Record 8
Entry from Alexandria: a relaxed BiTe2O crystal (GGA-PBE).

The uncorrected energy comes out at -3.55 eV per atom. The value obtained for the density of states at the Fermi level is 3.6 states/eV per cell. For the calculated volume, the calculation gives 94.6 Å³ per cell.

Cell: 8.402 8.402 8.402 Å, 25.20 25.20 25.20°
Fractional positions:
1 Te 0.767 0.767 0.767
2 Te 0.233 0.233 0.233
3 Bi 0.000 0.000 0.000
4 O 0.500 0.500 0.500

Record 9
Entry from Alexandria: a relaxed SrBe2Re crystal (GGA-PBE).

The uncorrected energy comes out at -4.99 eV per atom. As for the energy relative to the elements: 0.402 eV per atom. The value obtained for the density of states at the Fermi level is 3.1 states/eV per cell. For the calculated volume, the calculation gives 73.9 Å³ per cell.

Cell: 5.819 5.819 5.819 Å, 40.18 40.18 40.18°
Fractional positions:
1 Be 0.565 0.565 0.565
2 Be 0.935 0.935 0.935
3 Re 0.250 0.250 0.250
4 Sr 0.750 0.750 0.750

Q: Among the records above, which one has the lowest calculated volume?
A: SrBe2Re